[1]
DFT (meta-GGA SCAN) results for a PBEsol-optimized structure of YSc2Tl.

Computed properties:
V = 25.0 Å³ per atom
energy relative to the lowest polymorph listed for this composition = 30 meV/atom
ΔE_f = -0.3135 eV per atom
SG = No. 71
size of the total moment = 0.00 μB per atom

a = 3.6408 Å, b = 5.0933 Å, c = 6.2279 Å
α = 114.14°, β = 107.00°, γ = 90.00°
Closest atoms and distances in Å follow each position.
Sites, in units of the cell vectors:
Sc: 0.7253 0.7253 0.4507  2 Tl 3.03, 4 Sc 3.18
Sc: 0.2747 0.2747 0.5493  2 Tl 3.03, 4 Sc 3.18
Y: 0.5000 0.0000 0.0000  4 Tl 3.13, 4 Sc 3.47
Tl: 0.0000 0.5000 0.0000  4 Sc 3.03, 4 Y 3.13

=====

[2]
DFT (meta-GGA SCAN) results for a PBEsol-optimized structure of K2ZrCu.

Computed properties:
V = 27.5 Å³ per atom
energy relative to the lowest polymorph listed for this composition = 0 meV/atom
ΔE_f = 1.0215 eV per atom
SG = No. 47
size of the total moment = 0.49 μB per atom

a = 2.9939 Å, b = 5.9369 Å, c = 6.1902 Å
α = 90.00°, β = 90.00°, γ = 90.00°
Closest atoms and distances in Å follow each position.
Sites, in units of the cell vectors:
K: 0.0000 0.0000 0.2632  4 K 2.93-3.26
K: 0.0000 0.0000 0.7368  4 K 2.93-3.26
Cu: 0.5000 0.5000 0.5000  2 Cu 2.99, 2 Zr 3.10
Zr: 0.5000 0.5000 0.0000  2 Zr 2.99, 2 Cu 3.10

=====

[3]
DFT (meta-GGA SCAN) results for a PBEsol-optimized structure of YZrZn.

Computed properties:
V = 22.2 Å³ per atom
energy relative to the lowest polymorph listed for this composition = 211 meV/atom
ΔE_f = 0.0124 eV per atom
SG = No. 156
size of the total moment = 0.00 μB per atom

a = 3.3455 Å, b = 4.7969 Å, c = 4.7969 Å
α = 120.00°, β = 90.00°, γ = 90.00°
Closest atoms and distances in Å follow each position.
Sites, in units of the cell vectors:
Zr: 0.4621 0.3333 0.6667  3 Zn 2.79
Y: 0.9875 0.0000 0.0000  6 Zn 3.13-3.35, 6 Zr 3.19-3.28, 2 Y 3.35
Zn: 0.5503 0.6667 0.3333  3 Zr 2.79

=====

[4]
DFT (meta-GGA SCAN) results for a PBEsol-optimized structure of BePt2Rh.

Computed properties:
V = 12.9 Å³ per atom
ΔE_f = -0.3815 eV per atom
SG = No. 44
size of the total moment = 0.00 μB per atom

a = 2.7404 Å, b = 4.2441 Å, c = 5.1000 Å
α = 114.59°, β = 105.59°, γ = 90.00°
Closest atoms and distances in Å follow each position.
Sites, in units of the cell vectors:
Pt: 0.7502 0.7502 0.5004  4 Be 2.53, 4 Pt 2.74-2.81, 2 Rh 2.81
Pt: 0.9579 0.4579 0.9159  2 Be 2.30
Be: 0.2490 0.2490 0.4981  2 Rh 2.28, 6 Pt 2.30-2.53
Rh: 0.5429 0.0429 0.0857  2 Be 2.28

=====

[5]
DFT (meta-GGA SCAN) results for a PBEsol-optimized structure of SiC2F.

Computed properties:
V = 8.5 Å³ per atom
SG = No. 225
formation energy without anion corrections = 1.93 eV per atom
size of the total moment = 0.00 μB per atom

a = 3.6418 Å, b = 3.6418 Å, c = 3.6418 Å
α = 60.00°, β = 60.00°, γ = 60.00°
Closest atoms and distances in Å follow each position.
Sites, in units of the cell vectors:
C: 0.7500 0.7500 0.7500  4 F 2.23, 4 Si 2.23
C: 0.2500 0.2500 0.2500  4 F 2.23, 4 Si 2.23
F: 0.0000 0.0000 0.0000  8 C 2.23
Si: 0.5000 0.5000 0.5000  8 C 2.23

=====

[6]
DFT (meta-GGA SCAN) results for a PBEsol-optimized structure of Tc2SbAs.

Computed properties:
V = 16.2 Å³ per atom
energy relative to the lowest polymorph listed for this composition = 66 meV/atom
SG = No. 25
formation energy without anion corrections = 0.05 eV per atom
size of the total moment = 0.00 μB per atom

a = 3.0657 Å, b = 4.5317 Å, c = 4.6629 Å
α = 90.00°, β = 90.00°, γ = 90.02°
Closest atoms and distances in Å follow each position.
Sites, in units of the cell vectors:
Tc: 0.6251 0.2402 0.5000  2 As 2.56, 4 Sb 2.72-2.75
Tc: 0.1248 0.0390 0.0000  2 As 2.50, 2 Sb 2.69
Sb: 0.1250 0.7450 0.5000  6 Tc 2.69-2.75
As: 0.6251 0.4758 0.0000  4 Tc 2.50-2.56

=====

[7]
DFT (meta-GGA SCAN) results for a PBEsol-optimized structure of SrCaPb2.

Computed properties:
V = 31.0 Å³ per atom
ΔE_f = -0.7281 eV per atom
SG = No. 123
size of the total moment = 0.00 μB per atom

a = 3.9024 Å, b = 5.6408 Å, c = 5.6402 Å
α = 90.00°, β = 90.00°, γ = 90.00°
Closest atoms and distances in Å follow each position.
Sites, in units of the cell vectors:
Sr: 0.5000 0.3749 0.0000  8 Pb 3.43
Pb: 0.0000 0.8750 0.0000  4 Sr 3.43, 4 Ca 3.43
Pb: 0.0000 0.3752 0.5000  4 Ca 3.43, 4 Sr 3.43
Ca: 0.5000 0.8749 0.5000  8 Pb 3.43

=====

[8]
DFT (meta-GGA SCAN) results for a PBEsol-optimized structure of MgAl2Sb.

Computed properties:
V = 20.4 Å³ per atom
SG = No. 139
formation energy without anion corrections = 0.06 eV per atom
size of the total moment = 0.00 μB per atom

a = 4.0587 Å, b = 4.0587 Å, c = 5.7301 Å
α = 110.74°, β = 110.74°, γ = 90.00°
Closest atoms and distances in Å follow each position.
Sites, in units of the cell vectors:
Sb: 0.0000 0.0000 0.0000  4 Mg 2.87, 8 Al 3.20
Al: 0.7500 0.2500 0.5000  4 Al 2.87, 4 Sb 3.20, 4 Mg 3.20
Al: 0.2500 0.7500 0.5000  4 Al 2.87, 4 Sb 3.20, 4 Mg 3.20
Mg: 0.5000 0.5000 0.0000  4 Sb 2.87, 8 Al 3.20